{"formula": "Au3CBr", "functional": "PBE", "state": "relaxed", "sg": "Pm-3m, No. 221", "formation_energy_uncorrected_kj_per_mol_fu": 1049, "polymorph_energy_ev_per_atom": 1.223, "lattice_angstrom": [[5.184, 0.000, 0.000], [0.000, 5.184, 0.000], [0.000, 0.000, 5.184]], "species": ["C", "Au", "Au", "Au", "Br"], "frac_coords": [[0.500, 0.500, 0.500], [0.500, 0.000, 0.000], [0.000, 0.500, 0.000], [0.000, 0.000, 0.500], [0.000, 0.000, 0.000]]}

=====

{"formula": "PaMn2Fe", "functional": "PBE", "state": "relaxed", "sg": "R-3m, No. 166", "e_form_ev_per_fu": 0.25, "polymorph_energy_ev_per_atom": 0.000, "lattice_angstrom": [[-3.506, -2.215, 0.794], [-0.330, -3.986, -1.352], [0.351, -3.391, 3.319]], "species": ["Mn", "Mn", "Fe", "Pa"], "frac_coords": [[0.189, 0.189, 0.433], [0.811, 0.811, 0.567], [0.500, 0.500, 0.500], [0.000, 0.000, 0.000]]}

=====

{"formula": "MgCoRe", "functional": "PBE", "state": "relaxed", "sg": "P6_3/mmc, No. 194", "e_form_ev_per_fu": 6.62, "polymorph_energy_ev_per_atom": 2.143, "lattice_angstrom": [[0.368, 4.470, 1.401], [-2.484, -1.060, -3.845], [-7.169, -0.943, 4.891]], "species": ["Co", "Co", "Re", "Re", "Mg", "Mg"], "frac_coords": [[0.000, 0.000, 0.000], [0.000, 0.000, 0.500], [0.000, 0.000, 0.750], [0.000, 0.000, 0.250], [0.333, 0.667, 0.250], [0.667, 0.333, 0.750]]}

=====

{"formula": "Be2CuTe", "functional": "PBE", "state": "relaxed", "sg": "Pmmm, No. 47", "formation_energy_uncorrected_kj_per_mol_fu": 185, "lattice_angstrom": [[-0.405, -2.508, 1.337], [3.217, -0.826, -0.572], [1.578, 2.530, 5.224]], "species": ["Te", "Cu", "Be", "Be"], "frac_coords": [[0.500, 0.500, 0.750], [0.500, 0.500, 0.250], [0.000, 0.000, 0.074], [0.000, 0.000, 0.426]]}

=====

{"formula": "Cu2ReCl", "functional": "PBE", "state": "relaxed", "sg": "I-42d, No. 122", "formation_energy_uncorrected_kj_per_mol_fu": 387, "polymorph_energy_ev_per_atom": 0.666, "lattice_angstrom": [[-5.078, 4.550, 1.637], [-3.419, -1.699, -5.881], [-5.453, -0.357, -0.906]], "species": ["Cu", "Cu", "Cu", "Cu", "Cl", "Cl", "Re", "Re"], "frac_coords": [[0.613, 0.125, 0.250], [0.875, 0.863, 0.750], [0.375, 0.387, 0.750], [0.137, 0.625, 0.250], [0.500, 0.500, 0.000], [0.250, 0.750, 0.500], [0.750, 0.250, 0.500], [0.000, 0.000, 0.000]]}

=====

{"formula": "Rb2ZnPb2", "functional": "PBE", "state": "relaxed", "sg": "P4/mbm, No. 127", "e_form_ev_per_fu": 0.79, "polymorph_energy_ev_per_atom": 0.188, "lattice_angstrom": [[-10.415, 2.990, -0.613], [-1.642, -7.326, -7.837], [-0.900, -2.598, 2.617]], "species": ["Rb", "Rb", "Rb", "Rb", "Pb", "Pb", "Pb", "Pb", "Zn", "Zn"], "frac_coords": [[0.200, 0.700, 0.500], [0.800, 0.300, 0.500], [0.700, 0.800, 0.500], [0.300, 0.200, 0.500], [0.596, 0.096, 0.000], [0.096, 0.404, 0.000], [0.904, 0.596, 0.000], [0.404, 0.904, 0.000], [0.000, 0.000, 0.000], [0.500, 0.500, 0.000]]}

=====

{"formula": "CuTeSN2", "functional": "PBE", "state": "relaxed", "sg": "P4/mmm, No. 123", "formation_energy_uncorrected_kj_per_mol_fu": 715, "polymorph_energy_ev_per_atom": 0.021, "lattice_angstrom": [[-2.983, -1.566, -1.730], [0.133, -2.917, 2.412], [-3.937, 3.106, 3.974]], "species": ["N", "N", "Te", "Cu", "S"], "frac_coords": [[0.000, 0.500, 0.000], [0.500, 0.000, 0.000], [0.000, 0.000, 0.500], [0.000, 0.000, 0.000], [0.500, 0.500, 0.500]]}

=====

{"formula": "Sc3Sn2", "functional": "PBE", "state": "relaxed", "sg": "I4_1/amd, No. 141", "e_form_ev_per_fu": -2.61, "lattice_angstrom": [[-2.002, 1.686, -5.085], [0.934, -5.236, -2.103], [-6.186, -0.220, 5.578]], "species": ["Sc", "Sc", "Sc", "Sc", "Sc", "Sc", "Sn", "Sn", "Sn", "Sn"], "frac_coords": [[0.132, 0.382, 0.265], [0.632, 0.382, 0.765], [0.132, 0.882, 0.265], [0.757, 0.757, 0.515], [0.132, 0.382, 0.765], [0.507, 0.007, 0.015], [0.706, 0.206, 0.412], [0.309, 0.809, 0.618], [0.956, 0.956, 0.912], [0.559, 0.559, 0.118]]}

=====

{"formula": "LiCd2Ge", "functional": "PBE", "state": "relaxed", "sg": "R3m, No. 160", "e_form_ev_per_fu": -0.23, "lattice_angstrom": [[-0.478, 3.763, -2.543], [-1.933, -0.265, -4.130], [-4.855, 1.901, -0.375]], "species": ["Li", "Cd", "Cd", "Ge"], "frac_coords": [[0.793, 0.793, 0.622], [0.014, 0.014, 0.957], [0.239, 0.239, 0.284], [0.454, 0.454, 0.637]]}

=====

{"formula": "HgRh2Pb", "functional": "PBE", "state": "relaxed", "sg": "Cm, No. 8", "e_form_ev_per_fu": 0.46, "lattice_angstrom": [[0.459, -4.767, -2.536], [2.965, -4.508, -0.509], [-2.414, -1.995, 3.239]], "species": ["Rh", "Rh", "Pb", "Hg"], "frac_coords": [[0.783, 0.783, 0.626], [0.967, 0.967, 0.124], [0.236, 0.236, 0.126], [0.513, 0.513, 0.624]]}

=====

{"formula": "U2IrRh", "functional": "PBE", "state": "relaxed", "sg": "P4/mmm, No. 123", "e_form_ev_per_fu": -1.36, "polymorph_energy_ev_per_atom": 0.272, "lattice_angstrom": [[3.432, 0.000, 0.000], [0.000, 3.432, 0.000], [0.000, 0.000, 6.776]], "species": ["Rh", "Ir", "U", "U"], "frac_coords": [[0.500, 0.500, 0.500], [0.500, 0.500, 0.000], [0.000, 0.000, 0.752], [0.000, 0.000, 0.248]]}

=====

{"formula": "Sm2Be4Si3Os", "functional": "PBE", "state": "relaxed", "sg": "P-4m2, No. 115", "formation_energy_uncorrected_kj_per_mol_fu": -384, "lattice_angstrom": [[-0.178, -0.955, -3.727], [3.657, -1.201, 0.133], [-3.109, -9.185, 2.502]], "species": ["Be", "Be", "Be", "Be", "Si", "Si", "Si", "Os", "Sm", "Sm"], "frac_coords": [[0.000, 0.500, 0.368], [0.500, 0.000, 0.632], [0.500, 0.500, 0.000], [0.000, 0.000, 0.000], [0.000, 0.000, 0.500], [0.000, 0.500, 0.130], [0.500, 0.000, 0.870], [0.500, 0.500, 0.500], [0.500, 0.000, 0.245], [0.000, 0.500, 0.755]]}

=====

{"formula": "BaCrGeI2", "functional": "PBE", "state": "relaxed", "sg": "P4/mmm, No. 123", "formation_energy_uncorrected_kj_per_mol_fu": -189, "lattice_angstrom": [[5.707, 0.000, 0.000], [0.000, 4.911, 0.000], [0.000, 0.000, 5.707]], "species": ["Ge", "Cr", "I", "I", "Ba"], "frac_coords": [[0.000, 0.500, 0.000], [0.000, 0.000, 0.000], [0.500, 0.000, 0.000], [0.000, 0.000, 0.500], [0.500, 0.500, 0.500]]}

=====

{"formula": "TcRu", "functional": "PBE", "state": "relaxed", "sg": "P4/mmm, No. 123", "e_form_ev_per_fu": 0.07, "polymorph_energy_ev_per_atom": 0.103, "lattice_angstrom": [[-2.190, 1.311, -0.929], [-1.600, -1.928, 1.050], [-0.217, 1.982, 3.308]], "species": ["Tc", "Ru"], "frac_coords": [[0.000, 0.000, 0.500], [0.500, 0.500, 0.000]]}

=====

{"formula": "Zn12Cd5Ga3", "functional": "PBE", "state": "relaxed", "sg": "Ia-3d, No. 230", "e_form_ev_per_fu": 4.98, "lattice_angstrom": [[-8.741, 6.648, -7.635], [-5.128, -11.898, 3.320], [2.482, 7.039, 11.099]], "species": ["Cd", "Cd", "Cd", "Cd", "Cd", "Cd", "Cd", "Cd", "Cd", "Cd", "Cd", "Cd", "Cd", "Cd", "Cd", "Cd", "Cd", "Cd", "Cd", "Cd", "Zn", "Zn", "Zn", "Zn", "Zn", "Zn", "Zn", "Zn", "Zn", "Zn", "Zn", "Zn", "Zn", "Zn", "Zn", "Zn", "Zn", "Zn", "Zn", "Zn", "Zn", "Zn", "Zn", "Zn", "Zn", "Zn", "Zn", "Zn", "Zn", "Zn", "Zn", "Zn", "Zn", "Zn", "Zn", "Zn", "Zn", "Zn", "Zn", "Zn", "Zn", "Zn", "Zn", "Zn", "Zn", "Zn", "Zn", "Zn", "Ga", "Ga", "Ga", "Ga", "Ga", "Ga", "Ga", "Ga", "Ga", "Ga", "Ga", "Ga"], "frac_coords": [[0.750, 0.625, 0.375], [0.625, 0.750, 0.875], [0.500, 0.000, 0.000], [0.250, 0.875, 0.125], [0.500, 0.000, 0.500], [0.125, 0.375, 0.250], [0.500, 0.500, 0.500], [0.000, 0.000, 0.500], [0.125, 0.750, 0.375], [0.000, 0.500, 0.500], [0.875, 0.625, 0.750], [0.625, 0.875, 0.250], [0.000, 0.000, 0.000], [0.000, 0.500, 0.000], [0.875, 0.250, 0.625], [0.375, 0.250, 0.125], [0.750, 0.125, 0.875], [0.375, 0.125, 0.750], [0.500, 0.500, 0.000], [0.250, 0.375, 0.625], [0.414, 0.265, 0.345], [0.070, 0.914, 0.149], [0.080, 0.649, 0.735], [0.265, 0.851, 0.920], [0.235, 0.655, 0.086], [0.430, 0.351, 0.586], [0.655, 0.420, 0.570], [0.420, 0.765, 0.851], [0.351, 0.920, 0.765], [0.345, 0.765, 0.414], [0.080, 0.430, 0.845], [0.265, 0.414, 0.845], [0.735, 0.586, 0.155], [0.149, 0.414, 0.070], [0.155, 0.070, 0.920], [0.155, 0.086, 0.735], [0.086, 0.155, 0.235], [0.655, 0.235, 0.586], [0.930, 0.086, 0.851], [0.414, 0.149, 0.570], [0.580, 0.345, 0.930], [0.930, 0.845, 0.580], [0.570, 0.920, 0.655], [0.765, 0.420, 0.351], [0.570, 0.649, 0.414], [0.920, 0.351, 0.265], [0.845, 0.914, 0.265], [0.920, 0.570, 0.155], [0.914, 0.845, 0.765], [0.586, 0.851, 0.430], [0.345, 0.580, 0.430], [0.851, 0.586, 0.930], [0.851, 0.265, 0.420], [0.586, 0.735, 0.655], [0.735, 0.149, 0.080], [0.914, 0.070, 0.649], [0.351, 0.430, 0.086], [0.430, 0.080, 0.345], [0.420, 0.655, 0.070], [0.845, 0.930, 0.080], [0.235, 0.580, 0.649], [0.086, 0.930, 0.351], [0.580, 0.235, 0.149], [0.070, 0.155, 0.420], [0.649, 0.080, 0.235], [0.149, 0.735, 0.580], [0.649, 0.570, 0.914], [0.765, 0.345, 0.914], [0.125, 0.875, 0.750], [0.750, 0.375, 0.125], [0.250, 0.625, 0.875], [0.375, 0.750, 0.625], [0.125, 0.250, 0.875], [0.875, 0.125, 0.250], [0.250, 0.125, 0.375], [0.375, 0.625, 0.250], [0.625, 0.250, 0.375], [0.875, 0.750, 0.125], [0.625, 0.375, 0.750], [0.750, 0.875, 0.625]]}

=====

{"formula": "PmYMgAl", "functional": "PBE", "state": "relaxed", "sg": "F-43m, No. 216", "e_form_ev_per_fu": -1.14, "lattice_angstrom": [[5.270, 0.000, 0.000], [2.635, 4.564, 0.000], [2.635, 1.521, 4.303]], "species": ["Mg", "Pm", "Y", "Al"], "frac_coords": [[0.000, 0.000, 0.000], [0.250, 0.250, 0.250], [0.750, 0.750, 0.750], [0.500, 0.500, 0.500]]}

=====

{"formula": "Zn5Ga3Sn12", "functional": "PBE", "state": "relaxed", "sg": "Ia-3d, No. 230", "e_form_ev_per_fu": 3.09, "lattice_angstrom": [[14.209, 0.000, 0.000], [-4.736, 13.397, 0.000], [-4.736, -6.698, 11.602]], "species": ["Sn", "Sn", "Sn", "Sn", "Sn", "Sn", "Sn", "Sn", "Sn", "Sn", "Sn", "Sn", "Sn", "Sn", "Sn", "Sn", "Sn", "Sn", "Sn", "Sn", "Sn", "Sn", "Sn", "Sn", "Sn", "Sn", "Sn", "Sn", "Sn", "Sn", "Sn", "Sn", "Sn", "Sn", "Sn", "Sn", "Sn", "Sn", "Sn", "Sn", "Sn", "Sn", "Sn", "Sn", "Sn", "Sn", "Sn", "Sn", "Zn", "Zn", "Zn", "Zn", "Zn", "Zn", "Zn", "Zn", "Zn", "Zn", "Zn", "Zn", "Zn", "Zn", "Zn", "Zn", "Zn", "Zn", "Zn", "Zn", "Ga", "Ga", "Ga", "Ga", "Ga", "Ga", "Ga", "Ga", "Ga", "Ga", "Ga", "Ga"], "frac_coords": [[0.404, 0.274, 0.331], [0.226, 0.669, 0.096], [0.428, 0.370, 0.596], [0.942, 0.370, 0.274], [0.072, 0.169, 0.442], [0.942, 0.572, 0.169], [0.274, 0.870, 0.942], [0.370, 0.942, 0.774], [0.572, 0.630, 0.404], [0.558, 0.331, 0.928], [0.831, 0.928, 0.058], [0.904, 0.072, 0.630], [0.928, 0.831, 0.558], [0.442, 0.774, 0.870], [0.630, 0.058, 0.226], [0.870, 0.274, 0.442], [0.331, 0.774, 0.404], [0.831, 0.904, 0.274], [0.596, 0.726, 0.669], [0.596, 0.870, 0.428], [0.370, 0.428, 0.096], [0.072, 0.904, 0.130], [0.904, 0.831, 0.774], [0.274, 0.404, 0.831], [0.774, 0.331, 0.904], [0.226, 0.558, 0.630], [0.572, 0.942, 0.669], [0.726, 0.130, 0.058], [0.404, 0.130, 0.572], [0.726, 0.596, 0.169], [0.630, 0.572, 0.904], [0.669, 0.442, 0.572], [0.558, 0.226, 0.130], [0.870, 0.596, 0.928], [0.331, 0.558, 0.428], [0.442, 0.669, 0.072], [0.058, 0.630, 0.726], [0.169, 0.072, 0.942], [0.130, 0.404, 0.072], [0.428, 0.058, 0.331], [0.169, 0.096, 0.726], [0.669, 0.226, 0.596], [0.096, 0.169, 0.226], [0.058, 0.428, 0.831], [0.096, 0.928, 0.370], [0.130, 0.726, 0.558], [0.774, 0.442, 0.370], [0.928, 0.096, 0.870], [0.000, 0.000, 0.000], [0.125, 0.375, 0.250], [0.875, 0.625, 0.750], [0.500, 0.000, 0.000], [0.000, 0.500, 0.500], [0.625, 0.875, 0.250], [0.250, 0.375, 0.625], [0.375, 0.250, 0.125], [0.625, 0.750, 0.875], [0.000, 0.500, 0.000], [0.750, 0.125, 0.875], [0.875, 0.250, 0.625], [0.750, 0.625, 0.375], [0.500, 0.500, 0.500], [0.500, 0.500, 0.000], [0.250, 0.875, 0.125], [0.000, 0.000, 0.500], [0.375, 0.125, 0.750], [0.125, 0.750, 0.375], [0.500, 0.000, 0.500], [0.625, 0.250, 0.375], [0.375, 0.750, 0.625], [0.875, 0.125, 0.250], [0.375, 0.625, 0.250], [0.750, 0.875, 0.625], [0.125, 0.250, 0.875], [0.625, 0.375, 0.750], [0.750, 0.375, 0.125], [0.875, 0.750, 0.125], [0.250, 0.625, 0.875], [0.250, 0.125, 0.375], [0.125, 0.875, 0.750]]}

=====

{"formula": "Li3Zn2BRh3", "functional": "PBE", "state": "relaxed", "sg": "P-62m, No. 189", "e_form_ev_per_fu": -3.30, "lattice_angstrom": [[2.897, 0.000, 0.000], [0.000, 6.725, 0.000], [0.000, -3.362, 5.824]], "species": ["Rh", "Rh", "Rh", "Li", "Li", "Li", "B", "Zn", "Zn"], "frac_coords": [[0.500, 0.755, 0.000], [0.500, 0.000, 0.755], [0.500, 0.245, 0.245], [0.000, 0.000, 0.372], [0.000, 0.628, 0.628], [0.000, 0.372, 0.000], [0.000, 0.000, 0.000], [0.500, 0.333, 0.667], [0.500, 0.667, 0.333]]}

=====

{"formula": "CeEuZnBi", "functional": "PBE", "state": "relaxed", "sg": "F-43m, No. 216", "e_form_ev_per_fu": -1.65, "lattice_angstrom": [[-3.312, 2.748, -3.383], [-0.076, -1.212, -5.337], [-4.362, -2.488, -2.180]], "species": ["Zn", "Eu", "Bi", "Ce"], "frac_coords": [[0.000, 0.000, 0.000], [0.750, 0.750, 0.750], [0.500, 0.500, 0.500], [0.250, 0.250, 0.250]]}

=====

| no. | V (Å³ per cell) |
| --- | --- |
| 1 | 139 |
| 2 | 63 |
| 3 | 167 |
| 4 | 58 |
| 5 | 121 |
| 6 | 447 |
| 7 | 92 |
| 8 | 238 |
| 9 | 82 |
| 10 | 75 |
| 11 | 80 |
| 12 | 149 |
| 13 | 160 |
| 14 | 28 |
| 15 | 1842 |
| 16 | 104 |
| 17 | 2208 |
| 18 | 113 |
| 19 | 116 |